{"formula": "Rb3NaCr2O8", "functional": "GGA+U", "state": "optimized geometry", "lattice_angstrom": [[6.083, 0.000, 0.000], [-3.041, 5.268, 0.000], [0.000, 0.000, 7.913]], "species": ["Cr", "Cr", "O", "O", "O", "O", "O", "O", "O", "O", "Rb", "Rb", "Rb", "Na"], "fractional_positions": [[0.667, 0.333, 0.765], [0.333, 0.667, 0.235], [0.632, 0.816, 0.308], [0.184, 0.816, 0.308], [0.184, 0.368, 0.308], [0.368, 0.184, 0.692], [0.333, 0.667, 0.027], [0.816, 0.184, 0.692], [0.816, 0.632, 0.692], [0.667, 0.333, 0.973], [0.667, 0.333, 0.327], [0.000, 0.000, 0.000], [0.333, 0.667, 0.673], [0.000, 0.000, 0.500]], "magnetic_moment_mub_per_cell": 0.0, "sg": "P-3m1, No. 164", "dft_energy_ev_per_fu": -82.3}